(1)
A relaxed structure of ZrFe, computed with PBE.

Fermi-level density of states = 8.48 states/eV per cell
DFT formation energy = 1.396 eV per atom
Magnetic moment = 0.053 μB/f.u.

CIF file:
```
data_ZrFe
_chemical_formula_sum 'Zr4 Fe4'
_symmetry_space_group_name_H-M 'F -4 3 m'
_symmetry_Int_Tables_number 216
_symmetry_space_group_name_Hall 'F -4 2 3'
_cell_length_a 5.609
_cell_length_b 5.609
_cell_length_c 5.609
_cell_angle_alpha 90.00
_cell_angle_beta 90.00
_cell_angle_gamma 90.00
loop_
_atom_site_label
_atom_site_type_symbol
_atom_site_fract_x
_atom_site_fract_y
_atom_site_fract_z
Zr1 Zr 0.000 0.000 0.000
Fe1 Fe 0.250 0.250 0.250
```

(2)
A relaxed structure of ZrFe, computed with PBE.

Fermi-level density of states = 14.47 states/eV per cell
DFT formation energy = 0.016 eV per atom
Magnetic moment = 1.416 μB/f.u.

CIF file:
```
data_ZrFe
_chemical_formula_sum 'Zr6 Fe6'
_symmetry_space_group_name_H-M 'C 1 m 1'
_symmetry_Int_Tables_number 8
_symmetry_space_group_name_Hall 'C -2y'
_cell_length_a 10.475
_cell_length_b 3.218
_cell_length_c 6.243
_cell_angle_alpha 90.00
_cell_angle_beta 107.26
_cell_angle_gamma 90.00
loop_
_atom_site_label
_atom_site_type_symbol
_atom_site_fract_x
_atom_site_fract_y
_atom_site_fract_z
Zr1 Zr 0.000 0.000 0.000
Zr2 Zr 0.015 0.000 0.529
Zr3 Zr 0.209 0.500 0.354
Fe1 Fe 0.204 0.500 0.863
Fe2 Fe 0.333 0.000 0.695
Fe3 Fe 0.349 0.000 0.167
```

(3)
A relaxed structure of Zr2Fe, computed with PBE.

Fermi-level density of states = 11.46 states/eV per cell
DFT formation energy = 0.076 eV per atom
Magnetic moment = 0.000 μB/f.u.

CIF file:
```
data_Zr2Fe
_chemical_formula_sum 'Zr8 Fe4'
_symmetry_space_group_name_H-M 'I 41/a m d'
_symmetry_Int_Tables_number 141
_cell_length_a 3.004
_cell_length_b 3.004
_cell_length_c 25.800
_cell_angle_alpha 90.00
_cell_angle_beta 90.00
_cell_angle_gamma 90.00
loop_
_symmetry_equiv_pos_as_xyz
'x,y,z'
'-x,-y,-z'
'-y+1/4,x+3/4,z+1/4'
'y+1/4,-x+3/4,-z+1/4'
'-x+1/2,-y,z+1/2'
'x+1/2,y,-z+1/2'
'y+1/4,-x+1/4,z+3/4'
'-y+1/4,x+1/4,-z+3/4'
'x,-y,-z'
'-x,y,z'
'-y+1/4,-x+1/4,-z+3/4'
'y+1/4,x+1/4,z+3/4'
'-x+1/2,y,-z+1/2'
'x+1/2,-y,z+1/2'
'y+1/4,x+3/4,-z+1/4'
'-y+1/4,-x+3/4,z+1/4'
'x+1/2,y+1/2,z+1/2'
'-x+1/2,-y+1/2,-z+1/2'
'-y+3/4,x+1/4,z+3/4'
'y+3/4,-x+1/4,-z+3/4'
'-x,-y+1/2,z'
'x,y+1/2,-z'
'y+3/4,-x+3/4,z+1/4'
'-y+3/4,x+3/4,-z+1/4'
'x+1/2,-y+1/2,-z+1/2'
'-x+1/2,y+1/2,z+1/2'
'-y+3/4,-x+3/4,-z+1/4'
'y+3/4,x+3/4,z+1/4'
'-x,y+1/2,-z'
'x,-y+1/2,z'
'y+3/4,x+1/4,-z+3/4'
'-y+3/4,-x+1/4,z+3/4'
loop_
_atom_site_label
_atom_site_type_symbol
_atom_site_fract_x
_atom_site_fract_y
_atom_site_fract_z
Zr1 Zr 0.000 0.250 0.310
Fe1 Fe 0.000 0.250 0.875
```

(4)
A relaxed structure of ZrFe, computed with PBE.

Fermi-level density of states = 14.20 states/eV per cell
DFT formation energy = 1.582 eV per atom
Magnetic moment = 0.160 μB/f.u.

CIF file:
```
data_ZrFe
_chemical_formula_sum 'Zr6 Fe6'
_symmetry_space_group_name_H-M 'P m -3 n'
_symmetry_Int_Tables_number 223
_symmetry_space_group_name_Hall '-P 4n 2 3'
_cell_length_a 6.918
_cell_length_b 6.918
_cell_length_c 6.918
_cell_angle_alpha 90.00
_cell_angle_beta 90.00
_cell_angle_gamma 90.00
loop_
_atom_site_label
_atom_site_type_symbol
_atom_site_fract_x
_atom_site_fract_y
_atom_site_fract_z
Zr1 Zr 0.000 0.250 0.500
Fe1 Fe 0.000 0.500 0.250
```